Entry 1:
Entry from the Alexandria database: an optimized crystal structure of Cr2GeSb (PBE-GGA).

Lattice parameters (Å, degrees): 4.007 4.007 9.150 77.35 77.35 90.00
Fractional coordinates of all 8 atoms:
Cr 0.529 0.125 0.250
Ge 0.250 0.750 0.500
Sb 0.750 0.250 0.500
Sb 0.000 0.000 0.000
Cr 0.221 0.625 0.250
Cr 0.375 0.471 0.750
Ge 0.500 0.500 0.000
Cr 0.875 0.779 0.750

Results
Distance to the lowest polymorph of the same formula (eV/atom): 0.251
Calculated total energy (eV per atom): -6.391
Symmetry: I-42d
Density of states at the Fermi level (states/eV/f.u.): 3.7
ΔE_f (raw) (eV/atom): 0.61

---

Entry 2:
Entry from the Alexandria database: an optimized crystal structure of Cr2GeSb (PBE-GGA).

Lattice parameters (Å, degrees): 4.427 4.427 4.427 60.00 60.00 60.00
Site moments in Bohr magnetons follow the coordinates.
Fractional coordinates of all 4 atoms:
Ge 0.000 0.000 0.000  -0.10
Sb 0.500 0.500 0.500  -0.09
Cr 0.750 0.750 0.750  1.46
Cr 0.250 0.250 0.250  1.46

Results
Distance to the lowest polymorph of the same formula (eV/atom): 0.000
Calculated total energy (eV per atom): -6.642
Symmetry: Fm-3m
Density of states at the Fermi level (states/eV/f.u.): 4.1
ΔE_f (raw) (eV/atom): 0.35

---

- Among the records above, which one has the lowest ΔE_f (raw)?
  number 2

---

- density of states at the Fermi level of number 1 (Cr2GeSb)?
  3.7 states/eV/f.u.

---

- What is the formula in the first record?
  Cr2GeSb